Compound: CdCu2NiH
Source: Alexandria
Functional: GGA-PBE
Structure: relaxed

The space group is P4/mmm (No. 123) and the conventional cell measures 3.946, 3.946 and 3.639 Å, with angles of 90.00, 90.00 and 90.00 degrees. The inequivalent atoms are Cd at (0.000, 0.000, 0.000), Cu at (0.000, 0.500, 0.500), Ni at (0.500, 0.500, 0.000) and H at (0.500, 0.500, 0.500).

Its total energy is -3.592 eV per atom.

=====

Compound: BePb3
Source: Alexandria
Functional: GGA-PBE
Structure: relaxed

The space group is P2/m (No. 10) and the conventional cell measures 3.482, 3.507 and 8.700 Å, with angles of 90.00, 95.55 and 90.00 degrees. The inequivalent atoms are Be at (0.000, 0.000, 0.000), Pb at (0.000, 0.000, 0.500) and Pb at (0.426, 0.500, 0.197).

For the relative energy among the computed polymorphs, the calculation gives 127 meV/atom. The value obtained for the formation enthalpy at 0 K is 0.3824 eV per atom.

=====

D(E_F) (states/eV/f.u.)
2.26; 2.04